#one
# GaAg3F8, relaxed, DFT PBE-GGA
data_GaAg3F8
_chemical_formula_sum 'Ga2 Ag6 F16'
_space_group_name_H-M_alt 'I 4/m m m'
_space_group_IT_number 139
_space_group_name_Hall '-I 4 2'
_cell_length_a 5.3984
_cell_length_b 5.3984
_cell_length_c 10.7040
_cell_angle_alpha 90.00
_cell_angle_beta 90.00
_cell_angle_gamma 90.00
loop_
_atom_site_label
_atom_site_type_symbol
_atom_site_fract_x
_atom_site_fract_y
_atom_site_fract_z
Ga1 Ga 0.0000 0.0000 0.0000
Ag1 Ag 0.0000 0.0000 0.5000
Ag2 Ag 0.0000 0.5000 0.2500
F1 F 0.2271 0.2271 0.1147
# - Mass density: 5.81 g/cm³
# - Size of the total moment: 4.28 μB per cell

#two
# GaAg3F8, relaxed, DFT PBE-GGA
data_GaAg3F8
_chemical_formula_sum 'Ga2 Ag6 F16'
_space_group_name_H-M_alt 'C 2 2 2'
_space_group_IT_number 21
_cell_length_a 5.6676
_cell_length_b 10.8913
_cell_length_c 6.6058
_cell_angle_alpha 90.00
_cell_angle_beta 90.00
_cell_angle_gamma 90.00
loop_
_space_group_symop_operation_xyz
'x,y,z'
'-x,-y,z'
'x,-y,-z'
'-x,y,-z'
'x+1/2,y+1/2,z'
'-x+1/2,-y+1/2,z'
'x+1/2,-y+1/2,-z'
'-x+1/2,y+1/2,-z'
loop_
_atom_site_label
_atom_site_type_symbol
_atom_site_fract_x
_atom_site_fract_y
_atom_site_fract_z
Ga1 Ga 0.0000 0.0000 0.0000
Ag1 Ag 0.0000 0.0000 0.5000
Ag2 Ag 0.2500 0.2500 0.2462
F1 F 0.0000 0.1851 0.0000
F2 F 0.0000 0.1954 0.5000
F3 F 0.2312 0.0142 0.2072
# - Mass density: 4.44 g/cm³
# - Size of the total moment: 2.16 μB per cell

Short version: #two is the most stable of them.

#one
# Ga3AgF, relaxed, DFT PBE-GGA
data_Ga3AgF
_chemical_formula_sum 'Ga3 Ag1 F1'
_space_group_name_H-M_alt 'P m -3 m'
_space_group_IT_number 221
_space_group_name_Hall '-P 4 2 3'
_cell_length_a 4.6671
_cell_length_b 4.6671
_cell_length_c 4.6671
_cell_angle_alpha 90.00
_cell_angle_beta 90.00
_cell_angle_gamma 90.00
loop_
_atom_site_label
_atom_site_type_symbol
_atom_site_fract_x
_atom_site_fract_y
_atom_site_fract_z
Ga1 Ga 0.0000 0.0000 0.5000
Ag1 Ag 0.5000 0.5000 0.5000
F1 F 0.0000 0.0000 0.0000
# - Mass density: 5.49 g/cm³
# - Size of the total moment: 0.00 μB per cell

#two
# Ga3AgF, relaxed, DFT PBE-GGA
data_Ga3AgF
_chemical_formula_sum 'Ga3 Ag1 F1'
_space_group_name_H-M_alt 'P m -3 m'
_space_group_IT_number 221
_space_group_name_Hall '-P 4 2 3'
_cell_length_a 5.0126
_cell_length_b 5.0126
_cell_length_c 5.0126
_cell_angle_alpha 90.00
_cell_angle_beta 90.00
_cell_angle_gamma 90.00
loop_
_atom_site_label
_atom_site_type_symbol
_atom_site_fract_x
_atom_site_fract_y
_atom_site_fract_z
Ga1 Ga 0.0000 0.0000 0.5000
Ag1 Ag 0.0000 0.0000 0.0000
F1 F 0.5000 0.5000 0.5000
# - Mass density: 4.43 g/cm³
# - Size of the total moment: 0.00 μB per cell

Short version: #one is the most stable of them.

#one
# GaAg2F8, relaxed, DFT PBE-GGA
data_GaAg2F8
_chemical_formula_sum 'Ga2 Ag4 F16'
_space_group_name_H-M_alt 'C 1 2/m 1'
_space_group_IT_number 12
_cell_length_a 9.0377
_cell_length_b 8.2392
_cell_length_c 5.0192
_cell_angle_alpha 90.00
_cell_angle_beta 112.12
_cell_angle_gamma 90.00
loop_
_space_group_symop_operation_xyz
'x,y,z'
'-x,-y,-z'
'-x,y,-z'
'x,-y,z'
'x+1/2,y+1/2,z'
'-x+1/2,-y+1/2,-z'
'-x+1/2,y+1/2,-z'
'x+1/2,-y+1/2,z'
loop_
_atom_site_label
_atom_site_type_symbol
_atom_site_fract_x
_atom_site_fract_y
_atom_site_fract_z
Ga1 Ga 0.0000 0.0000 0.0000
Ag1 Ag 0.1944 0.5000 0.1913
F1 F 0.0349 0.5000 0.7798
F2 F 0.1130 0.1557 0.8780
F3 F 0.1861 0.0000 0.3820
# - Mass density: 4.20 g/cm³
# - Size of the total moment: 1.90 μB per cell

#two
# GaAg2F8, relaxed, DFT PBE-GGA
data_GaAg2F8
_chemical_formula_sum 'Ga1 Ag2 F8'
_space_group_name_H-M_alt 'P -3'
_space_group_IT_number 147
_cell_length_a 6.5297
_cell_length_b 6.5297
_cell_length_c 4.2134
_cell_angle_alpha 90.00
_cell_angle_beta 90.00
_cell_angle_gamma 120.00
loop_
_space_group_symop_operation_xyz
'x,y,z'
'-x,-y,-z'
'-y,x-y,z'
'y,-x+y,-z'
'-x+y,-x,z'
'x-y,x,-z'
loop_
_atom_site_label
_atom_site_type_symbol
_atom_site_fract_x
_atom_site_fract_y
_atom_site_fract_z
Ga1 Ga 0.0000 0.0000 0.0000
Ag1 Ag 0.3333 0.6667 0.2265
F1 F 0.1408 0.8565 0.2489
F2 F 0.3333 0.6667 0.7291
# - Mass density: 4.67 g/cm³
# - Size of the total moment: 1.43 μB per cell

Short version: #one is the most stable of them.

#one
# GaAg2F, relaxed, DFT PBE-GGA
data_GaAg2F
_chemical_formula_sum 'Ga4 Ag8 F4'
_space_group_name_H-M_alt 'F m -3 m'
_space_group_IT_number 225
_space_group_name_Hall '-F 4 2 3'
_cell_length_a 6.3858
_cell_length_b 6.3858
_cell_length_c 6.3858
_cell_angle_alpha 90.00
_cell_angle_beta 90.00
_cell_angle_gamma 90.00
loop_
_atom_site_label
_atom_site_type_symbol
_atom_site_fract_x
_atom_site_fract_y
_atom_site_fract_z
Ga1 Ga 0.0000 0.0000 0.0000
Ag1 Ag 0.2500 0.2500 0.2500
F1 F 0.0000 0.0000 0.5000
# - Mass density: 7.77 g/cm³
# - Size of the total moment: 0.00 μB per cell

#two
# GaAg2F, relaxed, DFT PBE-GGA
data_GaAg2F
_chemical_formula_sum 'Ga4 Ag8 F4'
_space_group_name_H-M_alt 'I -4 2 d'
_space_group_IT_number 122
_space_group_name_Hall 'I -4 2bw'
_cell_length_a 7.0013
_cell_length_b 7.0013
_cell_length_c 5.6137
_cell_angle_alpha 90.00
_cell_angle_beta 90.00
_cell_angle_gamma 90.00
loop_
_atom_site_label
_atom_site_type_symbol
_atom_site_fract_x
_atom_site_fract_y
_atom_site_fract_z
Ga1 Ga 0.0000 0.0000 0.0000
Ag1 Ag 0.2243 0.7500 0.6250
F1 F 0.0000 0.0000 0.5000
# - Mass density: 7.35 g/cm³
# - Size of the total moment: 0.00 μB per cell

Short version: #two is the most stable of them.

#one
# GaAgNF2, relaxed, DFT PBE-GGA
data_GaAgNF2
_chemical_formula_sum 'Ga1 Ag1 N1 F2'
_space_group_name_H-M_alt 'P 4/m m m'
_space_group_IT_number 123
_space_group_name_Hall '-P 4 2'
_cell_length_a 4.5686
_cell_length_b 4.5686
_cell_length_c 4.0677
_cell_angle_alpha 90.00
_cell_angle_beta 90.00
_cell_angle_gamma 90.00
loop_
_atom_site_label
_atom_site_type_symbol
_atom_site_fract_x
_atom_site_fract_y
_atom_site_fract_z
Ga1 Ga 0.0000 0.0000 0.0000
Ag1 Ag 0.5000 0.5000 0.5000
N1 N 0.5000 0.5000 0.0000
F1 F 0.0000 0.5000 0.5000
# - Mass density: 4.49 g/cm³
# - Size of the total moment: 2.20 μB per cell

#two
# GaAgNF2, relaxed, DFT PBE-GGA
data_GaAgNF2
_chemical_formula_sum 'Ga1 Ag1 N1 F2'
_space_group_name_H-M_alt 'P 4/m m m'
_space_group_IT_number 123
_space_group_name_Hall '-P 4 2'
_cell_length_a 4.0352
_cell_length_b 4.0352
_cell_length_c 3.8773
_cell_angle_alpha 90.00
_cell_angle_beta 90.00
_cell_angle_gamma 90.00
loop_
_atom_site_label
_atom_site_type_symbol
_atom_site_fract_x
_atom_site_fract_y
_atom_site_fract_z
Ga1 Ga 0.0000 0.0000 0.0000
Ag1 Ag 0.5000 0.5000 0.5000
N1 N 0.0000 0.0000 0.5000
F1 F 0.0000 0.5000 0.0000
# - Mass density: 6.04 g/cm³
# - Size of the total moment: 1.00 μB per cell

Short version: #two is the most stable of them.

#one
# GaAgN2F, relaxed, DFT PBE-GGA
data_GaAgN2F
_chemical_formula_sum 'Ga1 Ag1 N2 F1'
_space_group_name_H-M_alt 'P 4/m m m'
_space_group_IT_number 123
_space_group_name_Hall '-P 4 2'
_cell_length_a 3.9609
_cell_length_b 3.9609
_cell_length_c 4.0264
_cell_angle_alpha 90.00
_cell_angle_beta 90.00
_cell_angle_gamma 90.00
loop_
_atom_site_label
_atom_site_type_symbol
_atom_site_fract_x
_atom_site_fract_y
_atom_site_fract_z
Ga1 Ga 0.0000 0.0000 0.0000
Ag1 Ag 0.5000 0.5000 0.5000
N1 N 0.0000 0.5000 0.0000
F1 F 0.0000 0.0000 0.5000
# - Mass density: 5.90 g/cm³
# - Size of the total moment: 2.44 μB per cell

#two
# GaAgN2F, relaxed, DFT PBE-GGA
data_GaAgN2F
_chemical_formula_sum 'Ga1 Ag1 N2 F1'
_space_group_name_H-M_alt 'P 4/m m m'
_space_group_IT_number 123
_space_group_name_Hall '-P 4 2'
_cell_length_a 4.0596
_cell_length_b 4.0596
_cell_length_c 4.9681
_cell_angle_alpha 90.00
_cell_angle_beta 90.00
_cell_angle_gamma 90.00
loop_
_atom_site_label
_atom_site_type_symbol
_atom_site_fract_x
_atom_site_fract_y
_atom_site_fract_z
Ga1 Ga 0.0000 0.0000 0.0000
Ag1 Ag 0.5000 0.5000 0.5000
N1 N 0.0000 0.5000 0.5000
F1 F 0.5000 0.5000 0.0000
# - Mass density: 4.56 g/cm³
# - Size of the total moment: 3.27 μB per cell

Short version: #one is the most stable of them.

#one
# GaAgOF2, relaxed, DFT PBE-GGA
data_GaAgOF2
_chemical_formula_sum 'Ga1 Ag1 O1 F2'
_space_group_name_H-M_alt 'P 4/m m m'
_space_group_IT_number 123
_space_group_name_Hall '-P 4 2'
_cell_length_a 4.0967
_cell_length_b 4.0967
_cell_length_c 3.6721
_cell_angle_alpha 90.00
_cell_angle_beta 90.00
_cell_angle_gamma 90.00
loop_
_atom_site_label
_atom_site_type_symbol
_atom_site_fract_x
_atom_site_fract_y
_atom_site_fract_z
Ga1 Ga 0.0000 0.0000 0.0000
Ag1 Ag 0.5000 0.5000 0.5000
O1 O 0.0000 0.0000 0.5000
F1 F 0.0000 0.5000 0.0000
# - Mass density: 6.24 g/cm³
# - Size of the total moment: 0.00 μB per cell

#two
# GaAgOF2, relaxed, DFT PBE-GGA
data_GaAgOF2
_chemical_formula_sum 'Ga1 Ag1 O1 F2'
_space_group_name_H-M_alt 'P 4/m m m'
_space_group_IT_number 123
_space_group_name_Hall '-P 4 2'
_cell_length_a 4.4514
_cell_length_b 4.4514
_cell_length_c 4.0157
_cell_angle_alpha 90.00
_cell_angle_beta 90.00
_cell_angle_gamma 90.00
loop_
_atom_site_label
_atom_site_type_symbol
_atom_site_fract_x
_atom_site_fract_y
_atom_site_fract_z
Ga1 Ga 0.0000 0.0000 0.0000
Ag1 Ag 0.5000 0.5000 0.5000
O1 O 0.5000 0.5000 0.0000
F1 F 0.0000 0.5000 0.5000
# - Mass density: 4.83 g/cm³
# - Size of the total moment: 0.83 μB per cell

Short version: #one is the most stable of them.

#one
# AgGe2F8, relaxed, DFT PBE-GGA
data_AgGe2F8
_chemical_formula_sum 'Ag2 Ge4 F16'
_space_group_name_H-M_alt 'C 1 2/m 1'
_space_group_IT_number 12
_cell_length_a 10.1582
_cell_length_b 6.3427
_cell_length_c 5.3785
_cell_angle_alpha 90.00
_cell_angle_beta 94.76
_cell_angle_gamma 90.00
loop_
_space_group_symop_operation_xyz
'x,y,z'
'-x,-y,-z'
'-x,y,-z'
'x,-y,z'
'x+1/2,y+1/2,z'
'-x+1/2,-y+1/2,-z'
'-x+1/2,y+1/2,-z'
'x+1/2,-y+1/2,z'
loop_
_atom_site_label
_atom_site_type_symbol
_atom_site_fract_x
_atom_site_fract_y
_atom_site_fract_z
Ag1 Ag 0.0000 0.0000 0.0000
Ge1 Ge 0.2292 0.5000 0.4877
F1 F 0.1129 0.5000 0.7171
F2 F 0.1509 0.2101 0.3578
F3 F 0.1902 0.0000 0.8032
# - Mass density: 3.90 g/cm³
# - Size of the total moment: 0.00 μB per cell

#two
# AgGe2F8, relaxed, DFT PBE-GGA
data_AgGe2F8
_chemical_formula_sum 'Ag1 Ge2 F8'
_space_group_name_H-M_alt 'P -3 m 1'
_space_group_IT_number 164
_space_group_name_Hall '-P 3 2"'
_cell_length_a 7.1328
_cell_length_b 7.1328
_cell_length_c 3.9506
_cell_angle_alpha 90.00
_cell_angle_beta 90.00
_cell_angle_gamma 120.00
loop_
_atom_site_label
_atom_site_type_symbol
_atom_site_fract_x
_atom_site_fract_y
_atom_site_fract_z
Ag1 Ag 0.0000 0.0000 0.0000
Ge1 Ge 0.3333 0.6667 0.2473
F1 F 0.1884 0.3767 0.2477
F2 F 0.3333 0.6667 0.7485
# - Mass density: 3.86 g/cm³
# - Size of the total moment: 0.00 μB per cell

Short version: #two is the most stable of them.